# TiFeSb

A relaxed structure of TiFeSb (PBE-GGA, the Alexandria database).

Results
Magnetization ... 0.9 μB per formula unit
Calculated total energy ... -7.1909 eV/atom
Density of states at the Fermi level ... 13.0 states/eV/cell

Cell: 5.9572 5.9572 5.9572 Å, 90.00 90.00 90.00°
Last column: nearest neighbours and their distance in Å.
Space group F-43m (No. 216)
Inequivalent atoms, fractional coordinates:
Ti1 0.0000 0.0000 0.0000 (multiplicity 4)  4 Fe 2.58
Fe1 0.2500 0.2500 0.7500 (multiplicity 4)  4 Sb 2.58, 4 Ti 2.58
Sb1 0.0000 0.0000 0.5000 (multiplicity 4)  4 Fe 2.58